The following is a GGA-PBE calculation of a relaxed structure of TmIn2Pd6, from Alexandria.

Results
Space-group type ... Immm (71)
Electronic total energy ... -5.03 eV per atom
Density ... 10.3 Mg/m³
Calculated volume ... 167.9 Å³/cell

Cell: 8.125 8.125 8.125 Å, 157.57 124.42 60.69°
Sites, in units of the cell vectors:
Tm: 0.000 0.000 0.000
In: 0.331 0.331 0.000
In: 0.669 0.669 0.000
Pd: 0.035 0.834 0.201
Pd: 0.304 0.500 0.804
Pd: 0.367 0.166 0.201
Pd: 0.633 0.834 0.799
Pd: 0.696 0.500 0.196
Pd: 0.965 0.166 0.799

=====

The following is a GGA-PBE calculation of a relaxed structure of Pm2HoBr2N2, from Alexandria.

Results
Space-group type ... I4/mmm (139)
Raw formation energy ... -1369 meV per atom
Density ... 6.4 Mg/m³
Calculated volume ... 166.7 Å³/cell

Cell: 8.961 8.961 8.961 Å, 151.19 151.19 41.20°
Sites, in units of the cell vectors:
Pm: 0.087 0.087 0.000
Pm: 0.913 0.913 0.000
Ho: 0.500 0.500 0.000
Br: 0.326 0.326 0.000
Br: 0.674 0.674 0.000
N: 0.000 0.500 0.500
N: 0.500 0.000 0.500